This record from the Open Quantum Materials Database describes a relaxed structure of HfTePO. The functional is PBE.

Lattice parameters (Å, degrees): 3.8113 7.1358 7.1208 90.00 90.00 90.00
Closest atoms and distances in Å follow each position.
Sites, in units of the cell vectors:
1 O 0.0000 0.5971 0.7613  2 Hf 1.95-2.01
2 O 0.0000 0.4029 0.2613  2 Hf 1.95-2.01
3 P 0.5000 0.8060 0.4225  1 Te 2.45, 2 Hf 2.59
4 P 0.5000 0.1940 0.9225  1 Te 2.45, 2 Hf 2.59
5 Te 0.5000 0.2291 0.5808  1 P 2.45
6 Te 0.5000 0.7709 0.0808  1 P 2.45
7 Hf 0.0000 0.4313 0.9894  2 O 1.95-2.01
8 Hf 0.0000 0.5687 0.4894  2 O 1.95-2.01

Total magnetic moment in μB/cell: 0.00
Volume in A^3/atom: 24.2
Energy in Ry per atom: -0.521
E above lowest polymorph in eV/atom: 0.000

This record from the Open Quantum Materials Database describes a relaxed structure of HoLuSb. The functional is PBE.

Lattice parameters (Å, degrees): 4.9990 4.9990 4.9990 60.00 60.00 60.00
Closest atoms and distances in Å follow each position.
Sites, in units of the cell vectors:
1 Ho 0.2500 0.2500 0.2500  4 Sb 3.06
2 Sb 0.0000 0.0000 0.0000  4 Lu 3.06, 4 Ho 3.06
3 Lu 0.7500 0.7500 0.7500  4 Sb 3.06

Total magnetic moment in μB/cell: 0.02
Volume in A^3/atom: 29.4
Energy in Ry per atom: -0.355

This record from the Open Quantum Materials Database describes a relaxed structure of HfCu. The functional is PBE.

Lattice parameters (Å, degrees): 3.7391 3.7391 3.7391 60.00 60.00 60.00
Closest atoms and distances in Å follow each position.
Sites, in units of the cell vectors:
1 Hf 0.5000 0.5000 0.5000  6 Cu 2.64
2 Cu 0.0000 0.0000 0.0000  6 Hf 2.64

Total magnetic moment in μB/cell: 0.00
Volume in A^3/atom: 18.5
Energy in Ry per atom: -0.481
Formation energy in eV/f.u.: 0.580

This record from the Open Quantum Materials Database describes a relaxed structure of DyTmSi2. The functional is PBE.

Lattice parameters (Å, degrees): 3.8151 5.6445 5.6445 44.13 90.00 90.00
Closest atoms and distances in Å follow each position.
Sites, in units of the cell vectors:
1 Tm 0.5000 0.8594 0.8594  7 Si 2.93-3.11
2 Dy 0.0000 0.1408 0.1408  7 Si 2.93-3.12
3 Si 0.0000 0.4224 0.4224  2 Si 2.50
4 Si 0.5000 0.5773 0.5773  2 Si 2.50

Total magnetic moment in μB/cell: 0.01
Volume in A^3/atom: 21.2
Energy in Ry per atom: -0.427

This record from the Open Quantum Materials Database describes a relaxed structure of ZnFeAsPd. The functional is PBE.

Lattice parameters (Å, degrees): 4.3675 4.3675 4.3675 60.00 60.00 60.00
Closest atoms and distances in Å follow each position.
Sites, in units of the cell vectors:
1 Fe 0.7500 0.7500 0.7500  4 Pd 2.67, 4 As 2.67
2 Zn 0.2500 0.2500 0.2500  4 As 2.67, 4 Pd 2.67
3 Pd 0.5000 0.5000 0.5000  4 Fe 2.67, 4 Zn 2.67
4 As 0.0000 0.0000 0.0000  4 Zn 2.67, 4 Fe 2.67

Total magnetic moment in μB/cell: 2.50
Volume in A^3/atom: 14.7
Energy in Ry per atom: -0.355
E above lowest polymorph in eV/atom: 0.081

This record from the Open Quantum Materials Database describes a relaxed structure of NdMgTlSe3. The functional is PBE.

Lattice parameters (Å, degrees): 11.5141 4.3175 14.5703 90.00 90.00 90.00
Closest atoms and distances in Å follow each position.
Sites, in units of the cell vectors:
1 Se 0.7389 0.7500 0.6818  2 Mg 2.62
2 Se 0.4521 0.7500 0.1240  1 Mg 2.55
3 Se 0.5479 0.2500 0.8760  1 Mg 2.55
4 Se 0.2611 0.2500 0.3182  2 Mg 2.62
5 Se 0.9521 0.7500 0.3760  1 Mg 2.55
6 Se 0.0479 0.2500 0.6240  1 Mg 2.55
7 Se 0.2389 0.7500 0.8182  2 Mg 2.62
8 Se 0.7611 0.2500 0.1818  2 Mg 2.62
9 Se 0.0827 0.7500 0.1156  1 Mg 2.54
10 Se 0.5827 0.7500 0.3844  1 Mg 2.54
11 Se 0.9173 0.2500 0.8844  1 Mg 2.54
12 Se 0.4173 0.2500 0.6156  1 Mg 2.54
13 Tl 0.7755 0.2500 0.4977  7 Se 3.46-3.64, 2 Mg 3.79
14 Tl 0.2245 0.7500 0.5023  7 Se 3.46-3.64, 2 Mg 3.79
15 Tl 0.7245 0.7500 0.9977  7 Se 3.46-3.64, 2 Mg 3.79
16 Tl 0.2755 0.2500 0.0023  7 Se 3.46-3.64, 2 Mg 3.79
17 Nd 0.4868 0.7500 0.7430  6 Se 2.96-3.06
18 Nd 0.9868 0.7500 0.7570  6 Se 2.96-3.06
19 Nd 0.0132 0.2500 0.2430  6 Se 2.96-3.06
20 Nd 0.5132 0.2500 0.2570  6 Se 2.96-3.06
21 Mg 0.2634 0.7500 0.2159  4 Se 2.54-2.62
22 Mg 0.7366 0.2500 0.7841  4 Se 2.54-2.62
23 Mg 0.2366 0.2500 0.7159  4 Se 2.54-2.62
24 Mg 0.7634 0.7500 0.2841  4 Se 2.54-2.62

Total magnetic moment in μB/cell: 0.01
Volume in A^3/atom: 30.2
Energy in Ry per atom: -0.328

This record from the Open Quantum Materials Database describes a relaxed structure of PrSmTeO2. The functional is PBE.

Lattice parameters (Å, degrees): 7.0188 7.0188 7.0188 146.57 146.57 48.01
Closest atoms and distances in Å follow each position.
Sites, in units of the cell vectors:
1 O 0.2476 0.7476 0.5000  2 Sm 2.30, 2 Pr 2.36
2 O 0.7476 0.2476 0.5000  2 Sm 2.30, 2 Pr 2.36
3 Sm 0.6610 0.6610 0.0000  4 O 2.30
4 Pr 0.3426 0.3426 0.0000  4 O 2.36
5 Te 0.0011 0.0011 0.0000  4 Pr 3.50, 4 Sm 3.51, 8 O 3.75-3.83

Total magnetic moment in μB/cell: 0.00
Volume in A^3/atom: 20.9
Energy in Ry per atom: -0.543

This record from the Open Quantum Materials Database describes a relaxed structure of ZnW2C. The functional is PBE.

Lattice parameters (Å, degrees): 2.9918 2.9918 13.7819 90.00 90.00 120.00
Closest atoms and distances in Å follow each position.
Sites, in units of the cell vectors:
1 C 0.0000 0.0000 0.0000  6 W 2.13
2 C 0.0000 0.0000 0.5000  6 W 2.13
3 W 0.6667 0.3333 0.9100  3 C 2.13
4 W 0.3333 0.6667 0.0900  3 C 2.13
5 W 0.6667 0.3333 0.5900  3 C 2.13
6 W 0.3333 0.6667 0.4100  3 C 2.13
7 Zn 0.3333 0.6667 0.7500  6 W 2.80, 6 Zn 2.99
8 Zn 0.6667 0.3333 0.2500  6 W 2.80, 6 Zn 2.99

Total magnetic moment in μB/cell: 0.01
Volume in A^3/atom: 13.4
Energy in Ry per atom: -0.658

This record from the Open Quantum Materials Database describes a relaxed structure of Nb2Se3S. The functional is PBE.

Lattice parameters (Å, degrees): 5.9907 3.4571 12.2465 90.00 104.00 90.00
Closest atoms and distances in Å follow each position.
Sites, in units of the cell vectors:
1 Se 0.3148 0.5000 0.1460  3 Nb 2.62-2.63
2 Se 0.8102 0.0000 0.1347  3 Nb 2.62-2.63
3 Se 0.6737 0.0000 0.8564  3 Nb 2.63-2.66
4 Nb 0.5597 0.5000 0.9954  1 S 2.46, 5 Se 2.62-2.63
5 Nb 0.0873 0.0000 0.9986  2 S 2.48, 4 Se 2.62-2.66
6 S 0.1723 0.5000 0.8689  3 Nb 2.46-2.48

Total magnetic moment in μB/cell: 0.00
Volume in A^3/atom: 41.0
Energy in Ry per atom: -0.491
E above lowest polymorph in eV/atom: 0.000

This record from the Open Quantum Materials Database describes a relaxed structure of Nd2Pa2O5. The functional is PBE.

Lattice parameters (Å, degrees): 9.0042 4.2717 4.2717 90.00 90.00 90.00
Closest atoms and distances in Å follow each position.
Sites, in units of the cell vectors:
1 O 0.3206 0.5000 0.0000  2 Pa 2.23
2 O 0.6794 0.0000 0.5000  2 Pa 2.23
3 O 0.6794 0.5000 0.0000  2 Pa 2.23
4 O 0.3206 0.0000 0.5000  2 Pa 2.23
5 O 0.5000 0.5000 0.5000  2 Pa 2.26
6 Nd 0.5000 0.0000 0.0000  8 O 2.68
7 Nd 0.0000 0.0000 0.0000  8 O 3.59, 8 Pa 3.76
8 Pa 0.2493 0.5000 0.5000  5 O 2.23-2.26
9 Pa 0.7507 0.5000 0.5000  5 O 2.23-2.26

Total magnetic moment in μB/cell: 2.99
Volume in A^3/atom: 18.3
Energy in Ry per atom: -0.595

This record from the Open Quantum Materials Database describes a relaxed structure of ScAuSO. The functional is PBE.

Lattice parameters (Å, degrees): 5.3955 5.2272 9.1012 90.00 90.00 90.00
Closest atoms and distances in Å follow each position.
Sites, in units of the cell vectors:
1 S 0.0000 0.0000 0.7269  2 Au 2.49
2 S 0.5000 0.5000 0.7269  2 Au 2.49
3 S 0.5000 0.0000 0.2730  2 Au 2.49
4 S 0.0000 0.5000 0.2730  2 Au 2.49
5 O 0.2530 0.2499 0.0000  4 Sc 2.11-2.13
6 O 0.7470 0.7501 0.0000  4 Sc 2.11-2.13
7 O 0.2470 0.7499 0.0000  4 Sc 2.11-2.13
8 O 0.7530 0.2501 0.0000  4 Sc 2.11-2.13
9 Sc 0.5000 0.0000 0.8909  4 O 2.11-2.13
10 Sc 0.5000 0.5000 0.1091  4 O 2.11-2.13
11 Sc 0.0000 0.0000 0.1091  4 O 2.11-2.13
12 Sc 0.0000 0.5000 0.8909  4 O 2.11-2.13
13 Au 0.5863 0.7501 0.5001  2 S 2.49, 4 Au 2.70-2.78
14 Au 0.4137 0.2499 0.5001  2 S 2.49, 4 Au 2.70-2.78
15 Au 0.0863 0.7499 0.5001  2 S 2.49, 4 Au 2.70-2.78
16 Au 0.9137 0.2501 0.5001  2 S 2.49, 4 Au 2.70-2.78

Total magnetic moment in μB/cell: 0.00
Volume in A^3/atom: 16.0
Energy in Ry per atom: -0.469
E above lowest polymorph in eV/atom: 0.137

This record from the Open Quantum Materials Database describes a relaxed structure of K2ScFeCl6. The functional is PBE.

Lattice parameters (Å, degrees): 7.0294 7.0294 7.0294 60.00 60.00 60.00
Closest atoms and distances in Å follow each position.
Sites, in units of the cell vectors:
1 Cl 0.7514 0.2486 0.7514  1 Fe 2.47, 1 Sc 2.50
2 Cl 0.2486 0.7514 0.2486  1 Fe 2.47, 1 Sc 2.50
3 Cl 0.7514 0.7514 0.2486  1 Fe 2.47, 1 Sc 2.50
4 Cl 0.2486 0.7514 0.7514  1 Fe 2.47, 1 Sc 2.50
5 Cl 0.7514 0.2486 0.2486  1 Fe 2.47, 1 Sc 2.50
6 Cl 0.2486 0.2486 0.7514  1 Fe 2.47, 1 Sc 2.50
7 K 0.7500 0.7500 0.7500  12 Cl 3.51
8 K 0.2500 0.2500 0.2500  12 Cl 3.51
9 Sc 0.5000 0.5000 0.5000  6 Cl 2.50
10 Fe 0.0000 0.0000 0.0000  6 Cl 2.47

Total magnetic moment in μB/cell: 3.03
Volume in A^3/atom: 24.6
Energy in Ry per atom: -0.323

> Look up the total magnetic moment of the eleventh one.

0.00 μB/cell

What did the tenth record say?
This record from the Open Quantum Materials Database describes a relaxed structure of Nd2Pa2O5. The functional is PBE.

Lattice parameters (Å, degrees): 9.0042 4.2717 4.2717 90.00 90.00 90.00
Closest atoms and distances in Å follow each position.
Sites, in units of the cell vectors:
1 O 0.3206 0.5000 0.0000  2 Pa 2.23
2 O 0.6794 0.0000 0.5000  2 Pa 2.23
3 O 0.6794 0.5000 0.0000  2 Pa 2.23
4 O 0.3206 0.0000 0.5000  2 Pa 2.23
5 O 0.5000 0.5000 0.5000  2 Pa 2.26
6 Nd 0.5000 0.0000 0.0000  8 O 2.68
7 Nd 0.0000 0.0000 0.0000  8 O 3.59, 8 Pa 3.76
8 Pa 0.2493 0.5000 0.5000  5 O 2.23-2.26
9 Pa 0.7507 0.5000 0.5000  5 O 2.23-2.26

Total magnetic moment in μB/cell: 2.99
Volume in A^3/atom: 18.3
Energy in Ry per atom: -0.595

> Look up the energy of the twelfth one.

-0.323 Ry per atom